Entry from Alexandria via LeMat-Bulk: a relaxed structure of Tb3HfAl8 (PBE).

Properties
As for the spin magnetization: 0.0 Bohr magnetons per cell. For the density of states at the Fermi level, the calculation gives 7.4 states/eV per cell. Its formation enthalpy at 0 K is -0.481 eV per atom. The value obtained for the relative energy among the computed polymorphs is 0.00 eV/f.u.

a b c (Å): 5.4947 5.4947 9.5440
angles (deg): 73.27 73.27 60.00
Sites, in units of the cell vectors:
Tb 0.3750 0.3750 0.8750
Tb 0.9991 0.9991 0.0026
Tb 0.5006 0.5006 0.4983
Hf 0.8750 0.8750 0.3750
Al 0.9350 0.4360 0.1930
Al 0.4411 0.9386 0.6818
Al 0.4360 0.4360 0.1930
Al 0.9386 0.9386 0.6818
Al 0.1878 0.1878 0.4366
Al 0.6873 0.6873 0.9382
Al 0.4360 0.9350 0.1930
Al 0.9386 0.4411 0.6818

---

Entry from Alexandria via LeMat-Bulk: a relaxed structure of Rb3TcI (PBE).

Properties
As for the spin magnetization: 3.0 Bohr magnetons per cell. For the density of states at the Fermi level, the calculation gives 16.6 states/eV per cell. For the energy relative to the elements, uncorrected, the calculation gives 54.5 kJ/mol of atoms. The value obtained for the relative energy among the computed polymorphs is 0.00 eV/f.u.

a b c (Å): 6.5652 6.5652 6.5652
angles (deg): 90.00 90.00 90.00
Last column: magnetic moment on the atom in μB.
Sites, in units of the cell vectors:
I 0.5000 0.5000 0.5000  0.00
Tc 0.0000 0.0000 0.0000  2.53
Rb 0.0000 0.5000 0.0000  0.01
Rb 0.0000 0.0000 0.5000  0.00
Rb 0.5000 0.0000 0.0000  0.02

---

Entry from Alexandria via LeMat-Bulk: a relaxed structure of RbLiLaFe (PBE).

Properties
As for the spin magnetization: 1.2 Bohr magnetons per cell. For the density of states at the Fermi level, the calculation gives 3.4 states/eV per cell. Its formation enthalpy at 0 K is 0.470 eV per atom. The value obtained for the relative energy among the computed polymorphs is 0.09 eV/f.u.

a b c (Å): 3.6126 3.6131 9.7098
angles (deg): 86.16 93.91 85.89
Last column: magnetic moment on the atom in μB.
Sites, in units of the cell vectors:
Rb 0.1434 0.6010 0.6256  0.00
Li 0.7154 0.0286 0.9260  -0.03
La 0.5563 0.1878 0.2167  -0.25
Fe 0.2111 0.5330 0.0456  1.69

---

Entry from Alexandria via LeMat-Bulk: a relaxed structure of LiSnS (PBE).

Properties
As for the spin magnetization: 0.0 Bohr magnetons per cell. For the density of states at the Fermi level, the calculation gives 0.5 states/eV per cell. For the energy relative to the elements, uncorrected, the calculation gives -63.8 kJ/mol of atoms. The value obtained for the relative energy among the computed polymorphs is 0.31 eV/f.u.

a b c (Å): 3.8777 4.6269 8.5343
angles (deg): 95.71 76.65 114.65
Sites, in units of the cell vectors:
S 0.5687 0.8183 0.1812
S 0.4313 0.1817 0.8188
Li 0.3049 0.2264 0.1173
Li 0.6951 0.7736 0.8827
Sn 0.0995 0.2956 0.5963
Sn 0.9005 0.7044 0.4037

---

Entry from Alexandria via LeMat-Bulk: a relaxed structure of AcEr4Si4 (PBE).

Properties
As for the spin magnetization: 0.0 Bohr magnetons per cell. For the density of states at the Fermi level, the calculation gives 13.8 states/eV per cell. For the energy relative to the elements, uncorrected, the calculation gives -49.3 kJ/mol of atoms.

a b c (Å): 5.6215 9.3480 9.3480
angles (deg): 90.00 90.00 90.00
Sites, in units of the cell vectors:
Ac 0.0000 0.0000 0.0000
Ac 0.5000 0.5000 0.5000
Er 0.3785 0.3624 0.8822
Er 0.8785 0.6178 0.8624
Er 0.3785 0.6376 0.1178
Er 0.1215 0.1376 0.6178
Er 0.6215 0.8822 0.6376
Er 0.1215 0.8624 0.3822
Er 0.8785 0.3822 0.1376
Er 0.6215 0.1178 0.3624
Si 0.6119 0.8135 0.3260
Si 0.6119 0.1865 0.6740
Si 0.1119 0.8260 0.6865
Si 0.8881 0.3135 0.8260
Si 0.8881 0.6865 0.1740
Si 0.3881 0.3260 0.1865
Si 0.3881 0.6740 0.8135
Si 0.1119 0.1740 0.3135

---

Entry from Alexandria via LeMat-Bulk: a relaxed structure of BeZnPb2Se (PBE).

Properties
As for the spin magnetization: 0.0 Bohr magnetons per cell. For the density of states at the Fermi level, the calculation gives 2.8 states/eV per cell. For the energy relative to the elements, uncorrected, the calculation gives 29.1 kJ/mol of atoms.

a b c (Å): 5.4032 4.3097 5.4032
angles (deg): 90.00 90.00 90.00
Sites, in units of the cell vectors:
Pb 0.0000 0.0000 0.5000
Pb 0.5000 0.0000 0.0000
Be 0.0000 0.0000 0.0000
Zn 0.5000 0.5000 0.5000
Se 0.0000 0.5000 0.0000

---

Entry from Alexandria via LeMat-Bulk: a relaxed structure of K2ZrCu (PBE).

Properties
As for the spin magnetization: 0.3 Bohr magnetons per cell. For the density of states at the Fermi level, the calculation gives 4.6 states/eV per cell. Its formation enthalpy at 0 K is 0.978 eV per atom. The value obtained for the relative energy among the computed polymorphs is 2.28 eV/f.u.

a b c (Å): 3.0952 6.0308 6.3912
angles (deg): 90.00 90.00 90.00
Last column: magnetic moment on the atom in μB.
Sites, in units of the cell vectors:
Cu 0.5000 0.5000 0.7500  -0.01
K 0.0000 0.0000 0.9873  0.01
K 0.0000 0.0000 0.5127  0.01
Zr 0.5000 0.5000 0.2500  0.16

---

Entry from Alexandria via LeMat-Bulk: a relaxed structure of GaAg2BiAs (PBE).

Properties
As for the spin magnetization: 0.0 Bohr magnetons per cell. For the density of states at the Fermi level, the calculation gives 5.7 states/eV per cell. Its formation enthalpy at 0 K is 0.365 eV per atom.

a b c (Å): 5.0552 4.9664 5.0552
angles (deg): 90.00 90.00 90.00
Sites, in units of the cell vectors:
As 0.0000 0.0000 0.0000
Ga 0.0000 0.5000 0.0000
Bi 0.5000 0.5000 0.5000
Ag 0.0000 0.0000 0.5000
Ag 0.5000 0.0000 0.0000

---

Entry from Alexandria via LeMat-Bulk: a relaxed structure of AlGe (PBE).

Properties
As for the spin magnetization: 0.0 Bohr magnetons per cell. For the density of states at the Fermi level, the calculation gives 9.0 states/eV per cell. Its formation enthalpy at 0 K is 0.295 eV per atom.

a b c (Å): 9.9830 9.9830 3.9700
angles (deg): 90.00 90.00 90.00
Sites, in units of the cell vectors:
Al 0.6971 0.5197 0.5000
Al 0.3029 0.4803 0.5000
Al 0.4803 0.6971 0.5000
Al 0.5197 0.3029 0.5000
Al 0.9071 0.3907 0.0000
Al 0.0929 0.6093 0.0000
Al 0.6093 0.9071 0.0000
Al 0.3907 0.0929 0.0000
Ge 0.7903 0.2706 0.5000
Ge 0.2097 0.7294 0.5000
Ge 0.7294 0.7903 0.5000
Ge 0.2706 0.2097 0.5000
Ge 0.8370 0.6417 0.0000
Ge 0.1630 0.3583 0.0000
Ge 0.3583 0.8370 0.0000
Ge 0.6417 0.1630 0.0000

---

The highest spin magnetization belongs to which entry? Rb3TcI